No. 1
ZnWAu2 | GGA-PBE | optimized geometry

Unit cell a=5.6752 b=5.6752 c=5.6752 alpha=151.77 beta=128.17 gamma=60.06
Closest atoms and distances in Å follow each position.
Atoms (fractional coordinates):
Au (0.0093, 0.0093, 0.0000)  2 Zn 2.76, 4 Au 2.77-2.95, 4 W 2.84
Au (0.7446, 0.2446, 0.5000)  4 Au 2.77-2.95, 2 W 2.83, 4 Zn 2.84
W (0.4939, 0.4939, 0.0000)  2 Zn 2.75, 2 W 2.77, 6 Au 2.83-2.84
Zn (0.2522, 0.7522, 0.5000)  2 W 2.75, 6 Au 2.76-2.84, 2 Zn 2.77

The value obtained for the total magnetization is 0.0000 μB per atom. The calculation puts the formation energy at 0.316 eV per atom.

---

No. 2
BeMoPd2 | GGA-PBE | optimized geometry

Unit cell a=3.7266 b=3.7266 c=9.0213 alpha=78.08 beta=78.08 gamma=90.00
Closest atoms and distances in Å follow each position.
Atoms (fractional coordinates):
Be (0.5000, 0.5000, 0.0000)  4 Pd 2.51, 4 Mo 2.64
Be (0.2500, 0.7500, 0.5000)  4 Pd 2.51, 4 Mo 2.64
Mo (0.0000, 0.0000, 0.0000)  4 Pd 2.54, 4 Be 2.64
Mo (0.7500, 0.2500, 0.5000)  4 Pd 2.54, 4 Be 2.64
Pd (0.6140, 0.1250, 0.2500)  2 Be 2.51, 2 Mo 2.54, 4 Pd 2.58-2.69
Pd (0.1360, 0.6250, 0.2500)  2 Be 2.51, 2 Mo 2.54, 4 Pd 2.58-2.69
Pd (0.3750, 0.3860, 0.7500)  2 Be 2.51, 2 Mo 2.54, 4 Pd 2.58-2.69
Pd (0.8750, 0.8640, 0.7500)  2 Be 2.51, 2 Mo 2.54, 4 Pd 2.58-2.69

The value obtained for the total magnetization is 0.0000 μB per atom. The calculation puts the formation energy at 0.338 eV per atom.

---

No. 3
MoAs2P | GGA-PBE | optimized geometry

Unit cell a=4.4067 b=4.4067 c=5.6796 alpha=83.92 beta=83.92 gamma=43.45
Closest atoms and distances in Å follow each position.
Atoms (fractional coordinates):
As (0.0131, 0.0131, 0.0530)  1 P 2.41, 2 Mo 2.61
As (0.7844, 0.7844, 0.6931)  2 P 2.71, 3 Mo 2.73-3.01, 1 As 2.93
Mo (0.4930, 0.4930, 0.4149)  3 P 2.41, 2 As 2.61
P (0.2095, 0.2095, 0.3390)  3 Mo 2.41, 1 As 2.41

The value obtained for the total magnetization is 0.0000 μB per atom. The calculation puts the formation energy at -0.024 eV per atom.

---

No. 4
ReOs2W | GGA-PBE | optimized geometry

Unit cell a=3.2589 b=3.2589 c=5.7809 alpha=90.00 beta=90.00 gamma=90.00
Closest atoms and distances in Å follow each position.
Atoms (fractional coordinates):
Os (0.0000, 0.0000, 0.9949)  4 W 2.69, 2 Re 2.79-2.99, 4 Os 2.81
Os (0.5000, 0.5000, 0.2723)  4 Re 2.59, 1 W 2.80, 4 Os 2.81
Re (0.0000, 0.0000, 0.4770)  5 Os 2.59-2.79, 4 W 2.81
W (0.5000, 0.5000, 0.7558)  6 Os 2.69-2.99, 4 Re 2.81

The value obtained for the total magnetization is 0.0834 μB per atom. The calculation puts the formation energy at 0.420 eV per atom. For the energy above the lowest structure with this stoichiometry, the calculation gives 431.2 meV/atom.

---

No. 5
YGeAsSe2 | GGA-PBE | optimized geometry

Unit cell a=4.9889 b=4.9889 c=4.9150 alpha=90.00 beta=90.00 gamma=90.00
Closest atoms and distances in Å follow each position.
Atoms (fractional coordinates):
Y (0.5000, 0.5000, 0.5000)  8 Se 3.50, 4 As 3.53
As (0.0000, 0.0000, 0.5000)  2 Ge 2.46
Ge (0.0000, 0.0000, 0.0000)  2 As 2.46, 4 Se 2.49
Se (0.0000, 0.5000, 0.0000)  2 Ge 2.49
Se (0.5000, 0.0000, 0.0000)  2 Ge 2.49

The value obtained for the total magnetization is 0.0000 μB per atom. For the energy above the lowest structure with this stoichiometry, the calculation gives 0.0 meV/atom. Its formation energy (no corrections) is -252 meV per atom.

---

No. 6
Rb5Na6Tl | GGA-PBE | optimized geometry

Unit cell a=12.4078 b=8.0010 c=8.0789 alpha=60.32 beta=83.88 gamma=77.57
Closest atoms and distances in Å follow each position.
Atoms (fractional coordinates):
Na (0.7779, 0.8130, 0.0000)  1 Tl 3.41, 2 Na 3.59
Na (0.7838, 0.0702, 0.2570)  1 Tl 3.34, 2 Na 3.59-3.61
Na (0.2162, 0.6729, 0.2570)  1 Tl 3.34, 2 Na 3.59-3.61
Na (0.2162, 0.9298, 0.7430)  1 Tl 3.34, 2 Na 3.59-3.61
Na (0.7838, 0.3271, 0.7430)  1 Tl 3.34, 2 Na 3.59-3.61
Na (0.2221, 0.1870, 0.0000)  1 Tl 3.41, 2 Na 3.59
Tl (0.0000, 0.0000, 0.0000)  6 Na 3.34-3.41
Rb (0.5000, 0.1758, 0.6484)  6 Na 4.22-4.70, 5 Rb 4.51-4.70
Rb (0.0000, 0.6643, 0.6713)  6 Na 4.01-4.04
Rb (0.0000, 0.3357, 0.3287)  6 Na 4.01-4.04
Rb (0.5000, 0.5000, 0.0000)  6 Na 4.22-4.68, 6 Rb 4.55-4.70
Rb (0.5000, 0.8242, 0.3516)  6 Na 4.22-4.70, 5 Rb 4.51-4.70

The value obtained for the total magnetization is 0.0000 μB per atom. The calculation puts the formation energy at 0.058 eV per atom.

---

Question: total magnetization of number 1 (ZnWAu2)?
Answer: 0.0000 μB per atom

---

Question: What is the formula in the sixth record?
Answer: Rb5Na6Tl